No. 1
Density functional theory data (PBE-GGA) for a relaxed structure of K2MnMo.

POSCAR file:
```
K2MnMo
1.0
4.205 0.000 0.000
0.000 4.205 0.000
0.000 0.000 6.054
K Mn Mo
2 1 1
Cartesian
0.000 2.103 0.000
2.103 0.000 0.000
0.000 0.000 3.027
2.103 2.103 3.027
```

Results
N(E_F): 2.826 states/eV per cell
crystal system: tetragonal
energy relative to the lowest polymorph listed for this composition: 636.4 meV per atom
calculated total energy: -4.1047 eV per atom
energy relative to the elements: 1.4442 eV per atom

***

No. 2
Density functional theory data (PBE-GGA) for a relaxed structure of PrEr7Tm12.

POSCAR file:
```
PrEr7Tm12
1.0
5.941 3.430 5.198
-5.941 3.430 5.198
0.000 -6.860 5.198
Pr Er Tm
1 7 12
Cartesian
0.000 0.000 0.000
-2.178 -4.750 6.487
-5.203 -0.489 9.108
-3.025 4.261 6.487
0.000 0.000 7.797
3.025 -4.261 9.108
5.203 0.489 6.487
2.178 4.750 9.108
-1.424 -1.427 4.612
-3.136 0.983 7.032
-2.420 -2.224 8.563
-0.523 1.947 4.612
0.716 -3.207 7.032
1.947 -0.520 4.612
-1.947 0.520 10.982
-0.716 3.207 8.563
0.523 -1.947 10.982
2.420 2.224 7.032
3.136 -0.983 8.563
1.424 1.427 10.982
```

Results
N(E_F): 33.201 states/eV per cell
crystal system: trigonal
energy relative to the lowest polymorph listed for this composition: 0.0 meV per atom
calculated total energy: -4.2744 eV per atom
energy relative to the elements: 0.2444 eV per atom

***

No. 3
Density functional theory data (PBE-GGA) for a relaxed structure of Ni2HSe.

POSCAR file:
```
Ni2HSe
1.0
1.513 0.873 5.378
-1.513 0.873 5.378
0.000 -1.747 5.378
Ni H Se
2 1 1
Cartesian
0.000 0.000 3.620
0.000 0.000 12.513
0.000 0.000 8.066
0.000 0.000 0.000
```

Results
N(E_F): 2.855 states/eV per cell
crystal system: trigonal
energy relative to the lowest polymorph listed for this composition: 104.9 meV per atom
calculated total energy: -4.5313 eV per atom

***

No. 4
Density functional theory data (PBE-GGA) for a relaxed structure of KPt2WC.

POSCAR file:
```
KPt2WC
1.0
4.884 0.000 0.000
0.000 4.884 0.000
0.000 0.000 3.988
K Pt W C
1 2 1 1
Cartesian
0.000 0.000 0.000
0.000 2.442 0.000
2.442 0.000 0.000
2.442 2.442 1.994
0.000 0.000 1.994
```

Results
N(E_F): 8.872 states/eV per cell
crystal system: tetragonal
calculated total energy: -3.6778 eV per atom
energy relative to the elements: 3.3934 eV per atom